# AcPm3Sm6Y2 PBE relaxed
# **Calculated formation energy**: 23 meV per atom
data_AcPm3Sm6Y2
_chemical_formula_sum 'Ac1 Pm3 Sm6 Y2'
_space_group_name_H-M_alt 'P 1'
_space_group_IT_number 1
_cell_length_a 6.325
_cell_length_b 6.325
_cell_length_c 12.150
_cell_angle_alpha 94.98
_cell_angle_beta 94.98
_cell_angle_gamma 119.97
loop_
_space_group_symop_operation_xyz
'x,y,z'
loop_
_atom_site_label
_atom_site_type_symbol
_atom_site_fract_x
_atom_site_fract_y
_atom_site_fract_z
Pm1 Pm 0.167 0.833 0.500
Pm2 Pm 0.500 0.500 0.500
Pm3 Pm 0.833 0.167 0.500
Sm1 Sm 0.421 0.085 0.252
Sm2 Sm 0.579 0.915 0.748
Sm3 Sm 0.749 0.749 0.253
Sm4 Sm 0.915 0.579 0.748
Sm5 Sm 0.085 0.421 0.252
Sm6 Sm 0.251 0.251 0.747
Ac1 Ac 0.000 0.000 0.000
Y1 Y 0.667 0.333 0.000
Y2 Y 0.333 0.667 0.000

=====

# Ca3Cd2Hg4Au2 PBE relaxed
# **Calculated formation energy**: -415 meV per atom
data_Ca3Cd2Hg4Au2
_chemical_formula_sum 'Ca3 Cd2 Hg4 Au2'
_space_group_name_H-M_alt 'P 1'
_space_group_IT_number 1
_cell_length_a 4.903
_cell_length_b 4.903
_cell_length_c 13.699
_cell_angle_alpha 90.00
_cell_angle_beta 90.00
_cell_angle_gamma 120.00
loop_
_space_group_symop_operation_xyz
'x,y,z'
loop_
_atom_site_label
_atom_site_type_symbol
_atom_site_fract_x
_atom_site_fract_y
_atom_site_fract_z
Cd1 Cd 0.333 0.667 0.579
Cd2 Cd 0.667 0.333 0.421
Hg1 Hg 0.333 0.667 0.872
Hg2 Hg 0.667 0.333 0.635
Hg3 Hg 0.333 0.667 0.365
Hg4 Hg 0.667 0.333 0.128
Au1 Au 0.667 0.333 0.864
Au2 Au 0.333 0.667 0.136
Ca1 Ca 0.000 0.000 0.260
Ca2 Ca 0.000 0.000 0.000
Ca3 Ca 0.000 0.000 0.740

=====

# Pr3RuICl PBE relaxed
# **Raw formation energy**: -5.48 eV per formula unit
data_Pr3RuICl
_chemical_formula_sum 'Pr6 Ru2 I2 Cl2'
_space_group_name_H-M_alt 'P 1'
_space_group_IT_number 1
_cell_length_a 4.240
_cell_length_b 9.417
_cell_length_c 9.875
_cell_angle_alpha 96.24
_cell_angle_beta 90.00
_cell_angle_gamma 90.00
loop_
_space_group_symop_operation_xyz
'x,y,z'
loop_
_atom_site_label
_atom_site_type_symbol
_atom_site_fract_x
_atom_site_fract_y
_atom_site_fract_z
Pr1 Pr 0.750 0.348 0.588
Pr2 Pr 0.750 0.784 0.123
Pr3 Pr 0.250 0.216 0.877
Pr4 Pr 0.250 0.652 0.412
Pr5 Pr 0.250 0.607 0.826
Pr6 Pr 0.750 0.393 0.174
Ru1 Ru 0.250 0.578 0.121
Ru2 Ru 0.750 0.422 0.879
Cl1 Cl 0.250 0.143 0.584
Cl2 Cl 0.750 0.857 0.416
I1 I 0.750 0.909 0.821
I2 I 0.250 0.091 0.179

=====

# ZnSe PBE relaxed
# **Raw formation energy**: -1.34 eV per formula unit
data_ZnSe
_chemical_formula_sum 'Zn4 Se4'
_space_group_name_H-M_alt 'P 1'
_space_group_IT_number 1
_cell_length_a 6.990
_cell_length_b 6.990
_cell_length_c 4.069
_cell_angle_alpha 90.00
_cell_angle_beta 90.00
_cell_angle_gamma 90.00
loop_
_space_group_symop_operation_xyz
'x,y,z'
loop_
_atom_site_label
_atom_site_type_symbol
_atom_site_fract_x
_atom_site_fract_y
_atom_site_fract_z
Zn1 Zn 0.674 0.326 0.000
Zn2 Zn 0.326 0.674 0.000
Zn3 Zn 0.826 0.826 0.500
Zn4 Zn 0.174 0.174 0.500
Se1 Se 0.814 0.186 0.500
Se2 Se 0.314 0.314 0.000
Se3 Se 0.186 0.814 0.500
Se4 Se 0.686 0.686 0.000

=====

# LaPm4Sm7 PBE relaxed
# **Calculated formation energy**: 11 meV per atom
# **Distance to the lowest polymorph of the same formula**: 0 meV per atom
data_LaPm4Sm7
_chemical_formula_sum 'La1 Pm4 Sm7'
_space_group_name_H-M_alt 'P 1'
_space_group_IT_number 1
_cell_length_a 7.345
_cell_length_b 9.724
_cell_length_c 9.093
_cell_angle_alpha 81.14
_cell_angle_beta 90.00
_cell_angle_gamma 40.96
loop_
_space_group_symop_operation_xyz
'x,y,z'
loop_
_atom_site_label
_atom_site_type_symbol
_atom_site_fract_x
_atom_site_fract_y
_atom_site_fract_z
Sm1 Sm 0.779 0.221 0.333
Sm2 Sm 0.500 0.000 0.000
Sm3 Sm 0.751 0.500 0.000
Sm4 Sm 0.972 0.279 0.667
Sm5 Sm 0.249 0.500 0.000
Sm6 Sm 0.028 0.721 0.333
Sm7 Sm 0.221 0.779 0.667
Pm1 Pm 0.280 0.220 0.333
Pm2 Pm 0.720 0.780 0.667
Pm3 Pm 0.470 0.279 0.666
Pm4 Pm 0.530 0.721 0.334
La1 La 0.000 0.000 0.000

=====

# Rb4Pr3CrSe8 PBE relaxed
# **Raw formation energy**: -22.90 eV per formula unit
data_Rb4Pr3CrSe8
_chemical_formula_sum 'Rb4 Pr3 Cr1 Se8'
_space_group_name_H-M_alt 'P 1'
_space_group_IT_number 1
_cell_length_a 8.582
_cell_length_b 9.421
_cell_length_c 8.583
_cell_angle_alpha 117.11
_cell_angle_beta 120.00
_cell_angle_gamma 90.00
loop_
_space_group_symop_operation_xyz
'x,y,z'
loop_
_atom_site_label
_atom_site_type_symbol
_atom_site_fract_x
_atom_site_fract_y
_atom_site_fract_z
Se1 Se 0.215 0.690 0.975
Se2 Se 0.736 0.706 0.471
Se3 Se 0.785 0.310 0.569
Se4 Se 0.264 0.294 0.529
Se5 Se 0.215 0.690 0.431
Se6 Se 0.785 0.310 0.025
Se7 Se 0.760 0.690 0.975
Se8 Se 0.240 0.310 0.025
Pr1 Pr 0.500 0.500 0.000
Pr2 Pr 0.000 0.500 0.500
Pr3 Pr 0.500 0.500 0.500
Rb1 Rb 0.500 0.000 0.000
Rb2 Rb 0.000 0.000 0.000
Rb3 Rb 0.500 0.000 0.500
Rb4 Rb 0.000 0.000 0.500
Cr1 Cr 0.000 0.500 0.000